A relaxed structure of Re2RuAu, computed with PBE-GGA.

Results
**Crystal system**: orthorhombic
**Formation energy**: 0.4301 eV/atom
**Energy above the most stable polymorph in this dataset**: 21.0 kJ per mole of atoms
**SG**: No. 35
**E_tot**: -8.932 eV/atom

Geometry as CIF:
```
data_Re2RuAu
_cell_length_a 2.7139
_cell_length_b 2.7139
_cell_length_c 9.5112
_cell_angle_alpha 90.00
_cell_angle_beta 90.00
_cell_angle_gamma 116.02
_symmetry_space_group_name_H-M 'P 1'
_symmetry_Int_Tables_number 1
loop_
_symmetry_equiv_pos_as_xyz
'x,y,z'
loop_
_atom_site_label
_atom_site_type_symbol
_atom_site_fract_x
_atom_site_fract_y
_atom_site_fract_z
_atom_site_occupancy
Au1 Au 0.5000 0.5000 0.7479 1
Re1 Re 0.0000 0.0000 0.0158 1
Re2 Re 0.5000 0.5000 0.2520 1
Ru1 Ru 0.0000 0.0000 0.4843 1
```